Below is an optimized crystal structure of TmTc2Mo, with properties calculated at the PBE level.

Cell and atoms, written as POSCAR:
```
TmTc2Mo
1.0
4.5626 0.0000 0.0000
2.2813 3.9513 0.0000
2.2813 1.3171 3.7253
Mo Tm Tc
1 1 2
direct
0.5000 0.5000 0.5000
0.0000 0.0000 0.0000
0.2500 0.2500 0.2500
0.7500 0.7500 0.7500
```

Calculated values
The total magnetization comes out at 0.00 μB per formula unit. The formation energy is 0 kJ per mole of atoms. The symmetry is Fm-3m.


Below is an optimized crystal structure of TmTc2Mo, with properties calculated at the PBE level.

Cell and atoms, written as POSCAR:
```
TmTc2Mo
1.0
-0.0735 3.1502 -0.5240
-2.9736 -0.2586 -1.1378
-2.4583 0.9745 6.2034
Mo Tm Tc
1 1 2
direct
0.5000 0.5000 0.0000
0.5000 0.5000 0.5000
0.0000 0.0000 0.7794
0.0000 0.0000 0.2206
```

Calculated values
The total magnetization comes out at 0.00 μB per formula unit. The formation energy is -3 kJ per mole of atoms. The symmetry is P4/mmm.